ZrCr2W at its PBEsol-relaxed geometry, computed with SCAN.

Unit cell a=4.3558 b=4.3558 c=3.0573 alpha=90.00 beta=90.00 gamma=90.00
Positions (direct):
Zr: 0.0000 0.0000 0.0000
Cr: 0.0000 0.5000 0.5000
Cr: 0.5000 0.0000 0.5000
W: 0.5000 0.5000 0.0000

Computed properties:
Its density is 10.851 g/cm³. Its final energy is -34.083 eV/atom. Its volume is 58.0 Å³/f.u. The space group is No. 123.